No. 1
# Rb2MgPa2Se6 | the Alexandria database | PBE-GGA | relaxed
# calculated total energy = -5.30 eV per atom
# formation energy (no corrections) = -1.35 eV/atom
data_Rb2MgPa2Se6
_cell_length_a 7.1721
_cell_length_b 7.1721
_cell_length_c 8.5702
_cell_angle_alpha 97.90
_cell_angle_beta 97.90
_cell_angle_gamma 119.99
_space_group_name_H-M_alt 'P 1'
_space_group_IT_number 1
loop_
_space_group_symop_operation_xyz
'x,y,z'
loop_
_atom_site_label
_atom_site_fract_x
_atom_site_fract_y
_atom_site_fract_z
_atom_site_occupancy
Rb1 0.1657 0.8343 0.0000 1
Se1 0.0624 0.3949 0.6903 1
Se2 0.9376 0.6051 0.3097 1
Se3 0.7357 0.7357 0.6895 1
Se4 0.2643 0.2643 0.3105 1
Mg1 0.0000 0.0000 0.5000 1
Pa1 0.6655 0.3345 0.5000 1
Rb2 0.8343 0.1657 0.0000 1
Se5 0.3949 0.0624 0.6903 1
Se6 0.6051 0.9376 0.3097 1
Pa2 0.3345 0.6655 0.5000 1



No. 2
# VFe2Pt8 | the Alexandria database | PBE-GGA | relaxed
# energy of formation = -0.29 eV per atom
# calculated total energy = -7.05 eV per atom
data_VFe2Pt8
_cell_length_a 3.9211
_cell_length_b 6.2115
_cell_length_c 7.2836
_cell_angle_alpha 105.83
_cell_angle_beta 105.62
_cell_angle_gamma 90.00
_space_group_name_H-M_alt 'P 1'
_space_group_IT_number 1
loop_
_space_group_symop_operation_xyz
'x,y,z'
loop_
_atom_site_label
_atom_site_fract_x
_atom_site_fract_y
_atom_site_fract_z
_atom_site_occupancy
Pt1 0.3188 0.0847 0.6376 1
Pt2 0.4013 0.5505 0.8026 1
V1 0.5000 0.0000 0.0000 1
Pt3 0.6812 0.9153 0.3624 1
Pt4 0.1373 0.1863 0.2746 1
Fe1 0.2236 0.6388 0.4471 1
Pt5 0.9546 0.2695 0.9092 1
Pt6 0.5987 0.4495 0.1974 1
Fe2 0.7764 0.3612 0.5529 1
Pt7 0.8627 0.8137 0.7254 1
Pt8 0.0454 0.7305 0.0908 1



No. 3
# RuPbF5 | the Alexandria database | PBE-GGA | relaxed
# calculated total energy = -5.09 eV per atom
# formation energy (no corrections) = -1.90 eV/atom
data_RuPbF5
_cell_length_a 5.9556
_cell_length_b 5.9556
_cell_length_c 7.9534
_cell_angle_alpha 71.12
_cell_angle_beta 71.12
_cell_angle_gamma 72.91
_space_group_name_H-M_alt 'P 1'
_space_group_IT_number 1
loop_
_space_group_symop_operation_xyz
'x,y,z'
loop_
_atom_site_label
_atom_site_fract_x
_atom_site_fract_y
_atom_site_fract_z
_atom_site_occupancy
F1 0.2926 0.7212 0.5315 1
F2 0.2145 0.2374 0.3865 1
Pb1 0.5378 0.4622 0.7500 1
F3 0.7212 0.2926 0.0315 1
F4 0.9218 0.0782 0.7500 1
F5 0.2788 0.7074 0.9685 1
F6 0.0782 0.9218 0.2500 1
F7 0.7074 0.2788 0.4685 1
F8 0.7855 0.7626 0.6135 1
Ru1 0.0000 0.0000 0.0000 1
Pb2 0.4622 0.5378 0.2500 1
F9 0.7626 0.7855 0.1135 1
F10 0.2374 0.2145 0.8865 1
Ru2 0.0000 0.0000 0.5000 1